Record 1
Rb4SnHg2 | Alexandria | PBE-GGA | relaxed; N(E_F) = 4.037 states/eV/f.u.; magnetic moment = 0.00 μB/f.u.; energy = -1.2177 eV per atom
1.0
-1.0796 1.8338 -6.7165
-6.9623 -0.3060 1.0355
-4.0525 10.4083 -0.2022
Hg Rb Sn
2 4 1
direct
0.8566 0.8566 0.2868 Hg
0.1434 0.1434 0.7132 Hg
0.6798 0.6798 0.6404 Rb
0.3202 0.3202 0.3596 Rb
0.0000 0.5000 0.0000 Rb
0.5000 0.0000 0.0000 Rb
0.0000 0.0000 0.0000 Sn



Record 2
RbSn2Hg4 | Alexandria | PBE-GGA | relaxed; N(E_F) = 3.488 states/eV/f.u.; magnetic moment = 0.00 μB/f.u.; energy = -1.5022 eV per atom; offset from the most stable computed form = 17 kJ/mol of formula units
1.0
-4.0616 -2.8441 1.6958
3.6866 -2.2184 -2.9908
5.6593 -2.7267 8.9811
Rb Sn Hg
1 2 4
direct
0.0000 0.0000 0.5000 Rb
0.6667 0.3334 0.9998 Sn
0.3333 0.6666 0.0002 Sn
0.6671 0.3343 0.2794 Hg
0.3329 0.6657 0.7206 Hg
0.6661 0.3324 0.7200 Hg
0.3339 0.6676 0.2800 Hg



Record 3
Rb2SnHg2 | Alexandria | PBE-GGA | relaxed; N(E_F) = 1.089 states/eV/f.u.; magnetic moment = 0.00 μB/f.u.; energy = -1.5364 eV per atom; offset from the most stable computed form = 0 kJ/mol of formula units
1.0
-2.2468 1.8591 -6.3679
-3.3687 -4.7389 3.6568
-3.6003 7.8049 3.5490
Rb Sn Hg
4 2 4
direct
0.5267 0.2989 0.1510 Rb
0.2278 0.7011 0.3490 Rb
0.4733 0.7011 0.8490 Rb
0.7722 0.2989 0.6510 Rb
0.8757 0.0000 0.2500 Sn
0.1243 0.0000 0.7500 Sn
0.7409 0.7360 0.5036 Hg
0.0049 0.2640 0.9964 Hg
0.2591 0.2640 0.4964 Hg
0.9951 0.7360 0.0036 Hg